Here is crystalline TiNb3Rh at its relaxed geometry from the Alexandria database. Energies are from PBE-GGA.

```
data_TiNb3Rh
_symmetry_space_group_name_H-M 'P m -3 m'
_symmetry_Int_Tables_number 221
_symmetry_space_group_name_Hall '-P 4 2 3'
_cell_length_a 4.809
_cell_length_b 4.809
_cell_length_c 4.809
_cell_angle_alpha 90.00
_cell_angle_beta 90.00
_cell_angle_gamma 90.00
loop_
_atom_site_label
_atom_site_type_symbol
_atom_site_fract_x
_atom_site_fract_y
_atom_site_fract_z
Ti1 Ti 0.000 0.000 0.000
Nb1 Nb 0.000 0.500 0.500
Rh1 Rh 0.500 0.500 0.500
```

## Properties
energy above the lowest structure with this stoichiometry: 1.005 eV/atom
VASP energy: -8.07 eV/atom
magnetic moment: 0.001 μB/f.u.
formation energy from the elements: 1026 meV per atom

---

Here is crystalline Pm19Y6Er4 at its relaxed geometry from the Alexandria database. Energies are from PBE-GGA.

```
data_Pm19Y6Er4
_symmetry_space_group_name_H-M 'I 2 3'
_symmetry_Int_Tables_number 197
_symmetry_space_group_name_Hall 'I 2 2 3'
_cell_length_a 12.630
_cell_length_b 12.630
_cell_length_c 12.630
_cell_angle_alpha 90.00
_cell_angle_beta 90.00
_cell_angle_gamma 90.00
loop_
_atom_site_label
_atom_site_type_symbol
_atom_site_fract_x
_atom_site_fract_y
_atom_site_fract_z
Pm1 Pm 0.000 0.000 0.000
Pm2 Pm 0.000 0.000 0.257
Pm3 Pm 0.063 0.282 0.742
Y1 Y 0.000 0.127 0.500
Er1 Er 0.180 0.180 0.180
```

## Properties
VASP energy: -4.71 eV/atom
magnetic moment: 0.000 μB/f.u.
formation energy from the elements: 366 meV per atom

---

Here is crystalline SmGa4RuRh2 at its relaxed geometry from the Alexandria database. Energies are from PBE-GGA.

```
data_SmGa4RuRh2
_symmetry_space_group_name_H-M 'R -3 m'
_symmetry_Int_Tables_number 166
_symmetry_space_group_name_Hall '-R 3 2"'
_cell_length_a 4.2409
_cell_length_b 4.2409
_cell_length_c 26.0938
_cell_angle_alpha 90.00
_cell_angle_beta 90.00
_cell_angle_gamma 120.00
loop_
_atom_site_label
_atom_site_type_symbol
_atom_site_fract_x
_atom_site_fract_y
_atom_site_fract_z
Sm1 Sm 0.0000 0.0000 0.0000
Ga1 Ga 0.0000 0.0000 0.1326
Ga2 Ga 0.0000 0.0000 0.4016
Ru1 Ru 0.0000 0.0000 0.5000
Rh1 Rh 0.0000 0.0000 0.2371
```

## Properties
VASP energy: -5.73 eV/atom
magnetic moment: 0.000 μB/f.u.
formation energy from the elements: -633 meV per atom

---

Here is crystalline Li2PrAu4 at its relaxed geometry from the Alexandria database. Energies are from PBE-GGA.

```
data_Li2PrAu4
_symmetry_space_group_name_H-M 'I m m m'
_symmetry_Int_Tables_number 71
_symmetry_space_group_name_Hall '-I 2 2'
_cell_length_a 3.574
_cell_length_b 4.451
_cell_length_c 18.354
_cell_angle_alpha 90.00
_cell_angle_beta 90.00
_cell_angle_gamma 90.00
loop_
_atom_site_label
_atom_site_type_symbol
_atom_site_fract_x
_atom_site_fract_y
_atom_site_fract_z
Li1 Li 0.000 0.000 0.190
Pr1 Pr 0.000 0.500 0.000
Au1 Au 0.000 0.000 0.334
Au2 Au 0.000 0.500 0.424
```

## Properties
VASP energy: -3.62 eV/atom
magnetic moment: 0.000 μB/f.u.
formation energy from the elements: -516 meV per atom

---

Here is crystalline Sr6Ga2N at its relaxed geometry from the Alexandria database. Energies are from PBE-GGA.

```
data_Sr6Ga2N
_symmetry_space_group_name_H-M 'P 1 21/c 1'
_symmetry_Int_Tables_number 14
_symmetry_space_group_name_Hall '-P 2ybc'
_cell_length_a 7.371
_cell_length_b 8.166
_cell_length_c 12.653
_cell_angle_alpha 90.00
_cell_angle_beta 123.49
_cell_angle_gamma 90.00
loop_
_atom_site_label
_atom_site_type_symbol
_atom_site_fract_x
_atom_site_fract_y
_atom_site_fract_z
Sr1 Sr 0.129 0.028 0.235
Sr2 Sr 0.209 0.715 0.051
Sr3 Sr 0.345 0.163 0.051
Ga1 Ga 0.280 0.091 0.746
N1 N 0.000 0.000 0.000
```

## Properties
energy above the lowest structure with this stoichiometry: 0.000 eV/atom
VASP energy: -3.08 eV/atom
magnetic moment: 0.430 μB/f.u.

---

Here is crystalline CaRhCl at its relaxed geometry from the Alexandria database. Energies are from PBE-GGA.

```
data_CaRhCl
_symmetry_space_group_name_H-M 'P 63/m m c'
_symmetry_Int_Tables_number 194
_symmetry_space_group_name_Hall '-P 6c 2c'
_cell_length_a 4.2166
_cell_length_b 4.2166
_cell_length_c 7.7130
_cell_angle_alpha 90.00
_cell_angle_beta 90.00
_cell_angle_gamma 120.00
loop_
_atom_site_label
_atom_site_type_symbol
_atom_site_fract_x
_atom_site_fract_y
_atom_site_fract_z
Ca1 Ca 0.0000 0.0000 0.0000
Rh1 Rh 0.3333 0.6667 0.2500
Cl1 Cl 0.3333 0.6667 0.7500
```

## Properties
energy above the lowest structure with this stoichiometry: 0.615 eV/atom
VASP energy: -4.29 eV/atom
magnetic moment: 0.000 μB/f.u.

---

Here is crystalline CaCu2Rh at its relaxed geometry from the Alexandria database. Energies are from PBE-GGA.

```
data_CaCu2Rh
_symmetry_space_group_name_H-M 'F m -3 m'
_symmetry_Int_Tables_number 225
_symmetry_space_group_name_Hall '-F 4 2 3'
_cell_length_a 6.380
_cell_length_b 6.380
_cell_length_c 6.380
_cell_angle_alpha 90.00
_cell_angle_beta 90.00
_cell_angle_gamma 90.00
loop_
_atom_site_label
_atom_site_type_symbol
_atom_site_fract_x
_atom_site_fract_y
_atom_site_fract_z
Ca1 Ca 0.000 0.000 0.000
Cu1 Cu 0.250 0.250 0.250
Rh1 Rh 0.000 0.000 0.500
```

## Properties
energy above the lowest structure with this stoichiometry: 0.123 eV/atom
VASP energy: -4.41 eV/atom
magnetic moment: 0.000 μB/f.u.
formation energy from the elements: -25 meV per atom

---

Here is crystalline TbPaRh4 at its relaxed geometry from the Alexandria database. Energies are from PBE-GGA.

```
data_TbPaRh4
_symmetry_space_group_name_H-M 'F -4 3 m'
_symmetry_Int_Tables_number 216
_symmetry_space_group_name_Hall 'F -4 2 3'
_cell_length_a 7.542
_cell_length_b 7.542
_cell_length_c 7.542
_cell_angle_alpha 90.00
_cell_angle_beta 90.00
_cell_angle_gamma 90.00
loop_
_atom_site_label
_atom_site_type_symbol
_atom_site_fract_x
_atom_site_fract_y
_atom_site_fract_z
Tb1 Tb 0.000 0.000 0.000
Pa1 Pa 0.250 0.250 0.250
Rh1 Rh 0.125 0.125 0.625
```

## Properties
energy above the lowest structure with this stoichiometry: 0.000 eV/atom
VASP energy: -7.94 eV/atom
magnetic moment: 0.000 μB/f.u.
formation energy from the elements: -683 meV per atom

---

Here is crystalline CsSb2As at its relaxed geometry from the Alexandria database. Energies are from PBE-GGA.

```
data_CsSb2As
_symmetry_space_group_name_H-M 'P 1 21/c 1'
_symmetry_Int_Tables_number 14
_symmetry_space_group_name_Hall '-P 2ybc'
_cell_length_a 7.851
_cell_length_b 5.651
_cell_length_c 14.675
_cell_angle_alpha 90.00
_cell_angle_beta 106.61
_cell_angle_gamma 90.00
loop_
_atom_site_label
_atom_site_type_symbol
_atom_site_fract_x
_atom_site_fract_y
_atom_site_fract_z
Cs1 Cs 0.230 0.141 0.256
Sb1 Sb 0.129 0.649 0.061
Sb2 Sb 0.436 0.209 0.547
As1 As 0.228 0.566 0.442
```

## Properties
VASP energy: -3.64 eV/atom
magnetic moment: 0.000 μB/f.u.

---

Here is crystalline Np3TaNb2C6 at its relaxed geometry from the Alexandria database. Energies are from PBE-GGA.

```
data_Np3TaNb2C6
_symmetry_space_group_name_H-M 'C 1 2/m 1'
_symmetry_Int_Tables_number 12
_symmetry_space_group_name_Hall '-C 2y'
_cell_length_a 5.648
_cell_length_b 9.788
_cell_length_c 5.918
_cell_angle_alpha 90.00
_cell_angle_beta 108.56
_cell_angle_gamma 90.00
loop_
_atom_site_label
_atom_site_type_symbol
_atom_site_fract_x
_atom_site_fract_y
_atom_site_fract_z
Np1 Np 0.000 0.000 0.000
Np2 Np 0.000 0.333 0.000
Ta1 Ta 0.000 0.500 0.500
Nb1 Nb 0.000 0.167 0.500
C1 C 0.241 0.335 0.728
C2 C 0.246 0.000 0.729
```

## Properties
VASP energy: -10.83 eV/atom
magnetic moment: 6.795 μB/f.u.
formation energy from the elements: -315 meV per atom

---

Here is crystalline NdY4Tm2 at its relaxed geometry from the Alexandria database. Energies are from PBE-GGA.

```
data_NdY4Tm2
_symmetry_space_group_name_H-M 'P 1 21/m 1'
_symmetry_Int_Tables_number 11
_symmetry_space_group_name_Hall '-P 2yb'
_cell_length_a 6.058
_cell_length_b 6.613
_cell_length_c 11.584
_cell_angle_alpha 90.00
_cell_angle_beta 104.01
_cell_angle_gamma 90.00
loop_
_atom_site_label
_atom_site_type_symbol
_atom_site_fract_x
_atom_site_fract_y
_atom_site_fract_z
Nd1 Nd 0.042 0.250 0.366
Y1 Y 0.143 0.250 0.663
Y2 Y 0.273 0.750 0.921
Y3 Y 0.343 0.507 0.210
Tm1 Tm 0.163 0.250 0.948
Tm2 Tm 0.400 0.750 0.508
```

## Properties
energy above the lowest structure with this stoichiometry: 0.101 eV/atom
VASP energy: -5.52 eV/atom
magnetic moment: 0.000 μB/f.u.
formation energy from the elements: 128 meV per atom

---

Here is crystalline Li2InSb2 at its relaxed geometry from the Alexandria database. Energies are from PBE-GGA.

```
data_Li2InSb2
_symmetry_space_group_name_H-M 'I 4/m m m'
_symmetry_Int_Tables_number 139
_symmetry_space_group_name_Hall '-I 4 2'
_cell_length_a 4.722
_cell_length_b 4.722
_cell_length_c 11.546
_cell_angle_alpha 90.00
_cell_angle_beta 90.00
_cell_angle_gamma 90.00
loop_
_atom_site_label
_atom_site_type_symbol
_atom_site_fract_x
_atom_site_fract_y
_atom_site_fract_z
Li1 Li 0.000 0.500 0.250
In1 In 0.000 0.000 0.000
Sb1 Sb 0.000 0.000 0.381
```

## Properties
energy above the lowest structure with this stoichiometry: 0.098 eV/atom
VASP energy: -3.18 eV/atom
magnetic moment: 0.000 μB/f.u.